# 1
Computed, not measured: a geometry-optimized Mg2IrRhO8 structure at the PBE-GGA level of DFT.

a = 6.491 Å, b = 6.682 Å, c = 6.225 Å
α = 90.00°, β = 90.00°, γ = 90.00°
Space group Cmmm (No. 65)
Unique sites:
Mg 0.000 0.000 0.247 [4 per cell]
Ir 0.000 0.500 0.500 [2 per cell]
Rh 0.000 0.500 0.000 [2 per cell]
O 0.000 0.313 0.256 [8 per cell]
O 0.210 0.000 0.000 [4 per cell]
O 0.214 0.000 0.500 [4 per cell]

Calculated values
- uncorrected formation energy (eV/atom) = -1.228

# 2
Computed, not measured: a geometry-optimized Pr2YCu4 structure at the PBE-GGA level of DFT.

a = 8.422 Å, b = 7.254 Å, c = 5.585 Å
α = 90.00°, β = 117.13°, γ = 90.00°
Space group C2/m (No. 12)
Unique sites:
Pr 0.214 0.000 0.327 [4 per cell]
Y 0.000 0.500 0.000 [2 per cell]
Cu 0.126 0.175 0.774 [8 per cell]

Calculated values
- energy of formation (meV/atom) = -107

# 3
Computed, not measured: a geometry-optimized Pr2Cl3 structure at the PBE-GGA level of DFT.

a = 6.5455 Å, b = 6.5455 Å, c = 23.2538 Å
α = 90.00°, β = 90.00°, γ = 120.00°
Space group R-3c (No. 167, hexagonal axes)
Unique sites:
Pr 0.0000 0.0000 0.1674 [12 per cell]
Cl 0.0000 0.3328 0.2500 [18 per cell]

Calculated values
- uncorrected formation energy (eV/atom) = -1.625

# 4
Computed, not measured: a geometry-optimized TlZnSnPb structure at the PBE-GGA level of DFT.

a = 5.193 Å, b = 4.751 Å, c = 8.612 Å
α = 90.00°, β = 90.09°, γ = 90.00°
Space group Cm (No. 8)
Unique sites:
Tl 0.000 0.000 0.000 [2 per cell]
Zn 0.000 0.500 0.229 [2 per cell]
Sn 0.498 0.500 0.427 [2 per cell]
Pb 0.499 0.000 0.704 [2 per cell]

Calculated values
- offset from the most stable computed form (eV per formula unit) = 0.00
- energy of formation (meV/atom) = 87

# 5
Computed, not measured: a geometry-optimized SrCd2 structure at the PBE-GGA level of DFT.

a = 10.037 Å, b = 8.046 Å, c = 5.124 Å
α = 90.00°, β = 120.60°, γ = 90.00°
Space group C2/m (No. 12)
Unique sites:
Sr 0.205 0.000 0.455 [4 per cell]
Cd 0.086 0.303 0.835 [8 per cell]

Calculated values
- energy of formation (meV/atom) = -347

# 6
Computed, not measured: a geometry-optimized Mg2TlHg structure at the PBE-GGA level of DFT.

a = 3.4810 Å, b = 3.4810 Å, c = 28.6336 Å
α = 90.00°, β = 90.00°, γ = 120.00°
Space group R3m (No. 160, hexagonal axes)
Unique sites:
Mg 0.0000 0.0000 0.0000 [3 per cell]
Mg 0.0000 0.0000 0.2494 [3 per cell]
Tl 0.0000 0.0000 0.7528 [3 per cell]
Hg 0.0000 0.0000 0.5091 [3 per cell]

Calculated values
- energy of formation (meV/atom) = -14

In eV/atom, the VASP energy values for the records above are, in order, -6.150, -4.736, -4.644, -2.751, -1.517, -1.478.